The following is a GGA-PBE calculation of crystalline ErPaAs at its relaxed geometry, from OQMD.

Summary:
Magnetic moment = 0.281 μB per atom
E above lowest polymorph = 0 meV per atom

Cell: 6.7070 6.7070 6.7070 Å, 90.00 90.00 90.00°
Closest atoms and distances in Å follow each position.
Space group F-43m (No. 216)
Unique sites:
Er (0.0000, 0.0000, 0.0000) [4 per cell]  4 As 2.90, 4 Pa 2.90
Pa (0.2500, 0.2500, 0.2500) [4 per cell]  4 Er 2.90
As (0.2500, 0.2500, 0.7500) [4 per cell]  4 Er 2.90